Arrangement 1

The following is a PBE calculation of crystalline Pr3SmY at its relaxed geometry, from Alexandria.

The space group is Cmce (No. 64) and the conventional cell measures 13.250, 13.309 and 7.962 Å, with angles of 90.00, 90.00 and 90.00 degrees. Symmetry generates all atoms from Pr at (0.000, 0.100, 0.115), Pr at (0.150, 0.247, 0.383), Sm at (0.000, 0.099, 0.620) and Y at (0.250, 0.003, 0.750).


Arrangement 2

The following is a PBE calculation of crystalline Pr3SmY at its relaxed geometry, from Alexandria.

The space group is C2/m (No. 12) and the conventional cell measures 11.592, 5.189 and 11.632 Å, with angles of 90.00, 90.13 and 90.00 degrees. Symmetry generates all atoms from Pr at (0.051, 0.000, 0.148), Pr at (0.150, 0.000, 0.449), Pr at (0.250, 0.000, 0.752), Sm at (0.050, 0.500, 0.651) and Y at (0.150, 0.500, 0.950).


Most stable structure among those shown: arrangement 2. Next: +100 meV per atom.